1.
A plane-wave DFT calculation with PBE was carried out for crystalline SrAlIn2 at its relaxed geometry.

Unit cell a=5.3499 b=5.3499 c=5.3499 alpha=60.00 beta=60.00 gamma=60.00
Closest atoms and distances in Å follow each position.
Sites, in units of the cell vectors:
Sr (0.0000, 0.0000, 0.0000)  8 In 3.28
Al (0.5000, 0.5000, 0.5000)  8 In 3.28
In (0.2500, 0.2500, 0.2500)  4 Al 3.28, 4 Sr 3.28
In (0.7500, 0.7500, 0.7500)  4 Sr 3.28, 4 Al 3.28

For the total magnetization, the calculation gives 0.0 μB/f.u. The value obtained for the formation energy is -0.108 eV/atom. Its space group is Fm-3m (225). The calculation puts the total energy at -2.833 eV/atom.


2.
A plane-wave DFT calculation with PBE was carried out for crystalline SrAlIn2 at its relaxed geometry.

Unit cell a=5.8484 b=5.8484 c=5.8484 alpha=131.94 beta=131.94 gamma=70.33
Closest atoms and distances in Å follow each position.
Sites, in units of the cell vectors:
Sr (0.0000, 0.0000, 0.0000)  4 Al 3.37, 8 In 3.37
Al (0.5000, 0.5000, 0.0000)  4 Sr 3.37, 8 In 3.37
In (0.2500, 0.7500, 0.5000)  4 In 3.37, 4 Al 3.37, 4 Sr 3.37
In (0.7500, 0.2500, 0.5000)  4 In 3.37, 4 Al 3.37, 4 Sr 3.37

For the total magnetization, the calculation gives 0.0 μB/f.u. The value obtained for the formation energy is -0.126 eV/atom. Its space group is I4/mmm (139). The calculation puts the total energy at -2.852 eV/atom.


3.
A plane-wave DFT calculation with PBE was carried out for crystalline Sr2Al3In5 at its relaxed geometry.

Unit cell a=4.7631 b=4.7631 c=11.8426 alpha=90.00 beta=90.00 gamma=90.00
Closest atoms and distances in Å follow each position.
Sites, in units of the cell vectors:
Sr (0.0000, 0.5000, 0.2350)  6 Al 3.63-3.66, 10 In 3.63-3.94
Sr (0.5000, 0.0000, 0.7650)  6 Al 3.63-3.66, 10 In 3.63-3.94
Al (0.0000, 0.0000, 0.0000)  4 Al 2.78
Al (0.0000, 0.5000, 0.8787)  3 In 2.70-2.78, 2 Al 2.78
Al (0.5000, 0.0000, 0.1213)  3 In 2.70-2.78, 2 Al 2.78
In (0.0000, 0.0000, 0.5000)  4 In 2.98
In (0.0000, 0.5000, 0.6508)  1 Al 2.70, 4 In 2.98
In (0.5000, 0.0000, 0.3492)  1 Al 2.70, 4 In 2.98
In (0.5000, 0.5000, 0.0000)  4 Al 2.78
In (0.5000, 0.5000, 0.5000)  4 In 2.98

For the total magnetization, the calculation gives 0.0 μB/f.u. The value obtained for the formation energy is -0.227 eV/atom. Its space group is P-4m2 (115). The calculation puts the total energy at -3.055 eV/atom.


4.
A plane-wave DFT calculation with PBE was carried out for crystalline SrAl2In at its relaxed geometry.

Unit cell a=5.7008 b=5.7008 c=5.7008 alpha=131.52 beta=131.52 gamma=70.99
Closest atoms and distances in Å follow each position.
Sites, in units of the cell vectors:
Sr (0.0000, 0.0000, 0.0000)  8 Al 3.30, 4 In 3.31
Al (0.2500, 0.7500, 0.5000)  4 In 3.30, 4 Sr 3.30, 4 Al 3.31
Al (0.7500, 0.2500, 0.5000)  4 In 3.30, 4 Sr 3.30, 4 Al 3.31
In (0.5000, 0.5000, 0.0000)  8 Al 3.30, 4 Sr 3.31

For the total magnetization, the calculation gives 0.0 μB/f.u. The value obtained for the formation energy is 0.013 eV/atom. Its distance to the lowest polymorph of the same formula is 202.2 meV per atom. Its space group is I4/mmm (139). The calculation puts the total energy at -2.963 eV/atom.


5.
A plane-wave DFT calculation with PBE was carried out for crystalline SrAlIn2 at its relaxed geometry.

Unit cell a=5.3917 b=5.3917 c=5.3917 alpha=60.00 beta=60.00 gamma=60.00
Closest atoms and distances in Å follow each position.
Sites, in units of the cell vectors:
Sr (0.0000, 0.0000, 0.0000)  4 In 3.30, 4 Al 3.30
Al (0.2500, 0.2500, 0.2500)  4 In 3.30, 4 Sr 3.30
In (0.5000, 0.5000, 0.5000)  4 Al 3.30, 4 In 3.30
In (0.7500, 0.7500, 0.7500)  4 In 3.30, 4 Sr 3.30

For the total magnetization, the calculation gives 0.0 μB/f.u. The value obtained for the formation energy is -0.069 eV/atom. Its space group is F-43m (216). The calculation puts the total energy at -2.794 eV/atom.


6.
A plane-wave DFT calculation with PBE was carried out for crystalline Sr6AlIn3 at its relaxed geometry.

Unit cell a=10.1106 b=5.7980 c=13.1251 alpha=90.00 beta=111.09 gamma=90.00
Closest atoms and distances in Å follow each position.
Sites, in units of the cell vectors:
Sr (0.0200, 0.2500, 0.4135)  6 In 3.37-3.72, 1 Sr 3.75
Sr (0.1598, 0.7500, 0.1646)  1 Al 3.30, 4 In 3.40-3.60
Sr (0.2609, 0.2500, 0.9992)  3 In 3.44-3.71, 3 Al 3.47-3.64, 1 Sr 3.78
Sr (0.3487, 0.7500, 0.8264)  3 Al 3.41-3.47, 3 In 3.44-3.80, 1 Sr 3.78
Sr (0.3727, 0.2500, 0.3475)  3 In 3.63-3.65, 6 Sr 3.76-3.96
Sr (0.3793, 0.2500, 0.6355)  1 Al 3.23, 3 In 3.46-3.59
Sr (0.6207, 0.7500, 0.3645)  1 Al 3.23, 3 In 3.46-3.59
Sr (0.6273, 0.7500, 0.6525)  3 In 3.63-3.65, 6 Sr 3.76-3.96
Sr (0.6513, 0.2500, 0.1736)  3 Al 3.41-3.47, 3 In 3.44-3.80, 1 Sr 3.78
Sr (0.7391, 0.7500, 0.0008)  3 In 3.44-3.71, 3 Al 3.47-3.64, 1 Sr 3.78
Sr (0.8402, 0.2500, 0.8354)  1 Al 3.30, 4 In 3.40-3.60
Sr (0.9800, 0.7500, 0.5865)  6 In 3.37-3.72, 1 Sr 3.75
Al (0.4491, 0.7500, 0.1038)  7 Sr 3.23-3.47
Al (0.5509, 0.2500, 0.8962)  7 Sr 3.23-3.47
In (0.0337, 0.7500, 0.8710)  7 Sr 3.43-3.71, 2 In 3.68
In (0.0925, 0.2500, 0.7203)  5 Sr 3.37-3.46, 3 In 3.54-3.68
In (0.2615, 0.7500, 0.4661)  1 In 3.54, 9 Sr 3.59-3.72
In (0.7385, 0.2500, 0.5339)  1 In 3.54, 9 Sr 3.59-3.72
In (0.9075, 0.7500, 0.2797)  5 Sr 3.37-3.46, 3 In 3.54-3.68
In (0.9663, 0.2500, 0.1290)  7 Sr 3.43-3.71, 2 In 3.68

For the total magnetization, the calculation gives 0.0 μB/f.u. The value obtained for the formation energy is -0.276 eV/atom. Its space group is P2_1/m (11). The calculation puts the total energy at -2.481 eV/atom.